This record from Alexandria via LeMat-Bulk describes a geometry-optimized Li3AlCo structure. The functional is PBE-GGA.

abc: 4.397 4.397 4.397
angles: 90.00 90.00 90.00
Space group Pm-3m (No. 221)
Unique sites:
Li 0.000 0.000 0.500
Al 0.500 0.500 0.500
Co 0.000 0.000 0.000

This record from Alexandria via LeMat-Bulk describes a geometry-optimized CsGaPt structure. The functional is PBE-GGA.

abc: 4.2951 4.2951 5.9125
angles: 90.00 90.00 120.00
Space group P-6m2 (No. 187)
Unique sites:
Cs 0.0000 0.0000 0.0000
Ga 0.6667 0.3333 0.5000
Pt 0.3333 0.6667 0.5000

This record from Alexandria via LeMat-Bulk describes a geometry-optimized CeAgIr4 structure. The functional is PBE-GGA.

abc: 7.522 7.522 7.522
angles: 90.00 90.00 90.00
Space group F-43m (No. 216)
Unique sites:
Ce 0.000 0.000 0.000
Ag 0.250 0.250 0.250
Ir 0.125 0.125 0.625

This record from Alexandria via LeMat-Bulk describes a geometry-optimized PmSmMgRh structure. The functional is PBE-GGA.

abc: 7.313 7.313 7.313
angles: 90.00 90.00 90.00
Space group F-43m (No. 216)
Unique sites:
Pm 0.000 0.000 0.000
Sm 0.000 0.000 0.500
Mg 0.250 0.250 0.250
Rh 0.250 0.250 0.750

| no. | calculated volume (Å³/atom) | ΔE_f (eV/atom) |
| --- | --- | --- |
| 1 | 17.00 | 0.6433 |
| 2 | 31.49 | -0.3409 |
| 3 | 17.73 | -0.2950 |
| 4 | 24.44 | -0.3266 |